Entry 1:
Material: Rb2BH
Method: DFT, GGA-PBE
State: optimized geometry

- E: -1.95 eV per atom
- ΔE to the lowest computed polymorph: 0 meV/atom
- Crystal system: tetragonal

abc: 7.937 7.937 9.186
angles: 90.00 90.00 90.00
Space group I-42d (No. 122)
Inequivalent atoms, fractional coordinates:
Rb 0.197 0.250 0.125
B 0.000 0.000 0.500
H 0.000 0.000 0.000

---

Entry 2:
Material: CdRh5
Method: DFT, GGA-PBE
State: optimized geometry

- E: -6.20 eV per atom
- Formation enthalpy at 0 K: 0.0769 eV/atom
- Crystal system: orthorhombic

abc: 4.499 2.766 14.508
angles: 90.00 90.00 90.00
Space group Amm2 (No. 38)
Inequivalent atoms, fractional coordinates:
Cd 0.000 0.000 0.000
Rh 0.000 0.000 0.330
Rh 0.000 0.000 0.673
Rh 0.500 0.000 0.222
Rh 0.500 0.000 0.561
Rh 0.500 0.000 0.885

---

Entry 3:
Material: NbCrAsBr2
Method: DFT, GGA-PBE
State: optimized geometry

- E: -5.18 eV per atom
- Raw formation energy: 0.36 eV/atom
- ΔE to the lowest computed polymorph: 0 meV/atom
- Crystal system: tetragonal

abc: 5.179 5.179 5.094
angles: 90.00 90.00 90.00
Space group P4/mmm (No. 123)
Inequivalent atoms, fractional coordinates:
Nb 0.000 0.000 0.000
Cr 0.500 0.500 0.500
As 0.000 0.000 0.500
Br 0.000 0.500 0.000

---

Entry 4:
Material: KErUS4
Method: DFT, GGA-PBE
State: optimized geometry

- E: -6.39 eV per atom
- Raw formation energy: -1.61 eV/atom
- Crystal system: orthorhombic

abc: 8.299 8.429 11.689
angles: 90.00 90.00 90.00
Space group Imma (No. 74)
Inequivalent atoms, fractional coordinates:
K 0.000 0.250 0.130
Er 0.250 0.250 0.750
U 0.000 0.000 0.500
S 0.000 0.039 0.730
S 0.209 0.250 0.516

---

Entry 5:
Material: CaPb2Br
Method: DFT, GGA-PBE
State: optimized geometry

- E: -3.04 eV per atom
- Raw formation energy: -0.27 eV/atom
- ΔE to the lowest computed polymorph: 461 meV/atom
- Crystal system: tetragonal

abc: 10.061 10.061 5.847
angles: 90.00 90.00 90.00
Space group I-42d (No. 122)
Inequivalent atoms, fractional coordinates:
Ca 0.000 0.000 0.000
Pb 0.223 0.250 0.625
Br 0.000 0.000 0.500

---

Entry 6:
Material: Cd2CoPbI
Method: DFT, GGA-PBE
State: optimized geometry

- E: -1.88 eV per atom
- Raw formation energy: 0.96 eV/atom
- Crystal system: tetragonal

abc: 5.648 5.648 6.096
angles: 90.00 90.00 90.00
Space group P4/mmm (No. 123)
Inequivalent atoms, fractional coordinates:
Cd 0.000 0.500 0.000
Co 0.000 0.000 0.500
Pb 0.500 0.500 0.000
I 0.500 0.500 0.500

---

Entry 7:
Material: Cd4Ag
Method: DFT, GGA-PBE
State: optimized geometry

- E: -1.28 eV per atom
- Formation enthalpy at 0 K: 0.0229 eV/atom
- ΔE to the lowest computed polymorph: 25 meV/atom
- Crystal system: monoclinic

abc: 4.753 3.003 7.703
angles: 90.00 102.26 90.00
Space group P2/m (No. 10)
Inequivalent atoms, fractional coordinates:
Cd 0.123 0.000 0.202
Cd 0.295 0.500 0.615
Ag 0.500 0.500 0.000

---

Entry 8:
Material: ScTa2
Method: DFT, GGA-PBE
State: optimized geometry

- E: -9.80 eV per atom
- Formation enthalpy at 0 K: 0.2150 eV/atom
- ΔE to the lowest computed polymorph: 58 meV/atom
- Crystal system: orthorhombic

abc: 2.864 16.839 4.907
angles: 90.00 90.00 90.00
Space group Cmcm (No. 63)
Inequivalent atoms, fractional coordinates:
Sc 0.000 0.211 0.250
Ta 0.000 0.114 0.750
Ta 0.000 0.454 0.750

---

Entry 9:
Material: Ce4NdSb5
Method: DFT, GGA-PBE
State: optimized geometry

- E: -5.98 eV per atom
- Raw formation energy: -1.07 eV/atom
- Crystal system: orthorhombic

abc: 4.500 6.374 22.562
angles: 90.00 90.00 90.00
Space group Immm (No. 71)
Inequivalent atoms, fractional coordinates:
Ce 0.000 0.000 0.100
Ce 0.000 0.000 0.300
Nd 0.000 0.000 0.500
Sb 0.000 0.500 0.101
Sb 0.000 0.500 0.300
Sb 0.000 0.500 0.500

---

Entry 10:
Material: Np3Ag3AuSe8
Method: DFT, GGA-PBE
State: optimized geometry

- E: -5.80 eV per atom
- Raw formation energy: -0.56 eV/atom
- Crystal system: monoclinic

abc: 13.513 8.490 7.914
angles: 90.00 124.20 90.00
Space group C2/m (No. 12)
Inequivalent atoms, fractional coordinates:
Np 0.000 0.000 0.000
Np 0.250 0.250 0.500
Ag 0.000 0.500 0.500
Ag 0.250 0.250 0.000
Au 0.000 0.500 0.000
Se 0.002 0.225 0.262
Se 0.230 0.500 0.233
Se 0.245 0.500 0.741

---

Entry 11:
Material: Nb7Re2Mo2
Method: DFT, GGA-PBE
State: optimized geometry

- E: -10.59 eV per atom
- Formation enthalpy at 0 K: 0.0540 eV/atom
- Crystal system: orthorhombic

abc: 4.532 9.084 9.624
angles: 90.00 90.00 90.00
Space group Immm (No. 71)
Inequivalent atoms, fractional coordinates:
Nb 0.000 0.000 0.000
Nb 0.000 0.000 0.340
Nb 0.000 0.262 0.163
Re 0.000 0.500 0.334
Mo 0.000 0.256 0.500

---

Entry 12:
Material: La2Zn2Sb
Method: DFT, GGA-PBE
State: optimized geometry

- E: -3.85 eV per atom
- Raw formation energy: -0.55 eV/atom
- ΔE to the lowest computed polymorph: 0 meV/atom
- Crystal system: tetragonal

abc: 7.552 7.552 4.592
angles: 90.00 90.00 90.00
Space group P4/mbm (No. 127)
Inequivalent atoms, fractional coordinates:
La 0.176 0.324 0.000
Zn 0.119 0.619 0.500
Sb 0.000 0.000 0.500

---

Entry 13:
Material: Zn2BiClF
Method: DFT, GGA-PBE
State: optimized geometry

- E: -2.22 eV per atom
- Raw formation energy: -0.19 eV/atom
- Crystal system: tetragonal

abc: 5.037 5.037 4.755
angles: 90.00 90.00 90.00
Space group P4/mmm (No. 123)
Inequivalent atoms, fractional coordinates:
Zn 0.000 0.500 0.000
Bi 0.000 0.000 0.500
Cl 0.500 0.500 0.500
F 0.000 0.000 0.000

---

Entry 14:
Material: YGePt4
Method: DFT, GGA-PBE
State: optimized geometry

- E: -6.64 eV per atom
- Formation enthalpy at 0 K: -0.7650 eV/atom
- ΔE to the lowest computed polymorph: 0 meV/atom
- Crystal system: orthorhombic

abc: 7.630 4.007 6.963
angles: 90.00 90.00 90.00
Space group Pmma (No. 51)
Inequivalent atoms, fractional coordinates:
Y 0.250 0.000 0.139
Ge 0.250 0.000 0.726
Pt 0.000 0.000 0.500
Pt 0.049 0.500 0.808
Pt 0.250 0.500 0.445

---

Entry 15:
Material: CaB2TeSe
Method: DFT, GGA-PBE
State: optimized geometry

- E: -3.45 eV per atom
- Raw formation energy: 0.95 eV/atom
- Crystal system: tetragonal

abc: 4.444 4.444 5.902
angles: 90.00 90.00 90.00
Space group P4/mmm (No. 123)
Inequivalent atoms, fractional coordinates:
Ca 0.000 0.000 0.000
B 0.000 0.500 0.500
Te 0.500 0.500 0.500
Se 0.500 0.500 0.000

---

Entry 16:
Material: Sc4TeIr
Method: DFT, GGA-PBE
State: optimized geometry

- E: -6.06 eV per atom
- Raw formation energy: 0.16 eV/atom
- ΔE to the lowest computed polymorph: 999 meV/atom
- Crystal system: cubic

abc: 7.967 7.967 7.967
angles: 90.00 90.00 90.00
Space group F-43m (No. 216)
Inequivalent atoms, fractional coordinates:
Sc 0.124 0.124 0.376
Te 0.000 0.000 0.000
Ir 0.250 0.250 0.750

---

Entry 17:
Material: Sr3BeC2N6
Method: DFT, GGA-PBE
State: optimized geometry

- E: -6.73 eV per atom
- Raw formation energy: -0.30 eV/atom
- Crystal system: trigonal

abc: 5.3542 5.3542 6.4566
angles: 90.00 90.00 120.00
Space group P-3m1 (No. 164)
Inequivalent atoms, fractional coordinates:
Sr 0.0000 0.0000 0.0000
Sr 0.3333 0.6667 0.6784
Be 0.0000 0.0000 0.5000
C 0.3333 0.6667 0.2878
N 0.1861 0.3722 0.2949

---

Entry 18:
Material: Sb2TeSe
Method: DFT, GGA-PBE
State: optimized geometry

- E: -3.72 eV per atom
- Raw formation energy: 0.00 eV/atom
- ΔE to the lowest computed polymorph: 34 meV/atom
- Crystal system: trigonal

abc: 4.3213 4.3213 21.6711
angles: 90.00 90.00 120.00
Space group R-3m (No. 166, hexagonal axes)
Inequivalent atoms, fractional coordinates:
Sb 0.0000 0.0000 0.2449
Te 0.0000 0.0000 0.0000
Se 0.0000 0.0000 0.5000

---

Entry 19:
Material: HfCo2Ru2
Method: DFT, GGA-PBE
State: optimized geometry

- E: -8.57 eV per atom
- Formation enthalpy at 0 K: -0.0230 eV/atom
- ΔE to the lowest computed polymorph: 0 meV/atom
- Crystal system: tetragonal

abc: 7.042 7.042 2.820
angles: 90.00 90.00 90.00
Space group P4/mbm (No. 127)
Inequivalent atoms, fractional coordinates:
Hf 0.000 0.000 0.000
Co 0.120 0.380 0.000
Ru 0.175 0.675 0.500

---

Entry 20:
Material: Ac4InGa2
Method: DFT, GGA-PBE
State: optimized geometry

- E: -3.94 eV per atom
- Formation enthalpy at 0 K: -0.3334 eV/atom
- Crystal system: monoclinic

abc: 14.049 9.847 9.977
angles: 90.00 134.76 90.00
Space group C2 (No. 5)
Inequivalent atoms, fractional coordinates:
Ac 0.073 0.000 0.245
Ac 0.074 0.367 0.401
Ac 0.172 0.750 0.745
Ac 0.174 0.617 0.099
In 0.000 0.059 0.500
In 0.000 0.308 0.000
Ga 0.131 0.684 0.380
Ga 0.250 0.434 0.880

---

Entry 21:
Material: Sc4GaSbN
Method: DFT, GGA-PBE
State: optimized geometry

- E: -6.87 eV per atom
- Raw formation energy: -1.04 eV/atom
- Crystal system: orthorhombic

abc: 6.122 14.692 6.128
angles: 90.00 90.00 90.00
Space group Cmcm (No. 63)
Inequivalent atoms, fractional coordinates:
Sc 0.000 0.088 0.250
Sc 0.000 0.404 0.250
Sc 0.250 0.250 0.000
Ga 0.000 0.111 0.750
Sb 0.000 0.396 0.750
N 0.000 0.247 0.250

---

Entry 22:
Material: LaCePu2Se4
Method: DFT, GGA-PBE
State: optimized geometry

- E: -8.40 eV per atom
- Raw formation energy: -1.72 eV/atom
- Crystal system: monoclinic

abc: 7.288 4.199 7.297
angles: 90.00 109.33 90.00
Space group P2/m (No. 10)
Inequivalent atoms, fractional coordinates:
La 0.000 0.000 0.000
Ce 0.000 0.500 0.500
Pu 0.500 0.000 0.500
Pu 0.500 0.500 0.000
Se 0.259 0.000 0.750
Se 0.261 0.500 0.257

---

Entry 23:
Material: SrSm
Method: DFT, GGA-PBE
State: optimized geometry

- E: -3.11 eV per atom
- Formation enthalpy at 0 K: 0.0856 eV/atom
- Crystal system: tetragonal

abc: 3.891 3.891 11.162
angles: 90.00 90.00 90.00
Space group P4/nmm (No. 129, origin choice 2)
Inequivalent atoms, fractional coordinates:
Sr 0.250 0.250 0.148
Sm 0.250 0.250 0.600

---

Entry 24:
Material: ZrAgHgPb
Method: DFT, GGA-PBE
State: optimized geometry

- E: -3.93 eV per atom
- Formation enthalpy at 0 K: -0.0756 eV/atom
- Crystal system: orthorhombic

abc: 4.241 4.416 4.705
angles: 90.00 90.00 90.00
Space group Pmmm (No. 47)
Inequivalent atoms, fractional coordinates:
Zr 0.000 0.000 0.000
Ag 0.000 0.500 0.500
Hg 0.500 0.000 0.500
Pb 0.500 0.500 0.000